[1]
Material: BeCuAu5
Method: DFT, PBE
State: optimized geometry

Summary:
* total moment: 0.00 μB per atom
* energy of formation from the pure elements: 0.057 eV/atom
* space group: C2/c

Structure (CIF):
```
data_BeCuAu5
_space_group_name_H-M_alt 'P 1'
_space_group_IT_number 1
_space_group_name_Hall 'P 1'
_cell_length_a 5.383
_cell_length_b 5.383
_cell_length_c 9.569
_cell_angle_alpha 72.13
_cell_angle_beta 72.13
_cell_angle_gamma 87.52
loop_
_atom_site_label
_atom_site_type_symbol
_atom_site_fract_x
_atom_site_fract_y
_atom_site_fract_z
Be1 Be 0.000 0.000 0.500
Be2 Be 0.000 0.000 0.000
Au1 Au 0.611 0.254 0.017
Au2 Au 0.254 0.611 0.517
Au3 Au 0.739 0.661 0.707
Au4 Au 0.261 0.339 0.293
Au5 Au 0.389 0.746 0.983
Au6 Au 0.886 0.114 0.750
Au7 Au 0.746 0.389 0.483
Au8 Au 0.339 0.261 0.793
Au9 Au 0.661 0.739 0.207
Au10 Au 0.114 0.886 0.250
Cu1 Cu 0.231 0.769 0.750
Cu2 Cu 0.769 0.231 0.250
```

[2]
Material: Be6CuAu6
Method: DFT, PBE
State: optimized geometry

Summary:
* total moment: 0.00 μB per atom
* energy of formation from the pure elements: -0.106 eV/atom
* space group: P6/mmm

Structure (CIF):
```
data_Be6CuAu6
_space_group_name_H-M_alt 'P 1'
_space_group_IT_number 1
_space_group_name_Hall 'P 1'
_cell_length_a 4.887
_cell_length_b 4.887
_cell_length_c 8.307
_cell_angle_alpha 90.00
_cell_angle_beta 90.00
_cell_angle_gamma 120.00
loop_
_atom_site_label
_atom_site_type_symbol
_atom_site_fract_x
_atom_site_fract_y
_atom_site_fract_z
Au1 Au 0.333 0.667 0.500
Au2 Au 0.333 0.667 0.000
Au3 Au 0.667 0.333 0.000
Au4 Au 0.000 0.000 0.678
Au5 Au 0.667 0.333 0.500
Au6 Au 0.000 0.000 0.322
Be1 Be 0.500 0.000 0.245
Be2 Be 0.000 0.500 0.755
Be3 Be 0.500 0.500 0.755
Be4 Be 0.500 0.500 0.245
Be5 Be 0.000 0.500 0.245
Be6 Be 0.500 0.000 0.755
Cu1 Cu 0.000 0.000 0.000
```